The following is a DFT calculation (PBE) of Mn2ReMo after structural relaxation.

Calculated values
uncorrected energy	-10.256	eV per atom

abc: 8.9192 2.6890 4.5807
angles: 90.00 101.11 90.00
With the nearest neighbours (Å) after each atom.
Space group Cm (No. 8)
Unique sites:
Mn1 0.0000 0.0000 0.0000 x2  4 Mn 2.53-2.69, 4 Re 2.60-2.73, 3 Mo 2.60-2.69
Mn2 0.2292 0.5000 0.2510 x2  4 Mn 2.53-2.69, 3 Re 2.61-2.66, 4 Mo 2.62-2.70
Re1 0.4750 0.0000 0.4731 x2  7 Mn 2.60-2.73, 3 Mo 2.67-2.85, 2 Re 2.69
Mo1 0.2440 0.0000 0.7665 x2  7 Mn 2.60-2.70, 3 Re 2.67-2.85, 2 Mo 2.69

The following is a DFT calculation (PBE) of MnReMo2 after structural relaxation.

Calculated values
excess energy over the best structure of this formula in the dataset	235	meV per atom
uncorrected energy	-10.516	eV per atom

abc: 2.7437 2.7437 26.8728
angles: 90.00 90.00 120.00
With the nearest neighbours (Å) after each atom.
Space group R-3m (No. 166, hexagonal axes)
Unique sites:
Mn1 0.0000 0.0000 0.0000 x3  6 Mo 2.64, 6 Mn 2.74
Re1 0.0000 0.0000 0.5000 x3  6 Re 2.74, 6 Mo 2.84
Mo1 0.0000 0.0000 0.2546 x6  3 Mn 2.64, 6 Mo 2.74, 3 Re 2.84

The following is a DFT calculation (PBE) of MnRe2Mo2 after structural relaxation.

Calculated values
excess energy over the best structure of this formula in the dataset	205	meV per atom
uncorrected energy	-10.321	eV per atom

abc: 4.1620 4.1620 10.9172
angles: 90.00 90.00 90.00
With the nearest neighbours (Å) after each atom.
Space group I4/mmm (No. 139)
Unique sites:
Mn1 0.0000 0.0000 0.0000 x2  8 Mo 3.22, 8 Re 3.43
Re1 0.0000 0.5000 0.2500 x4  4 Mo 2.52
Mo1 0.0000 0.0000 0.3805 x4  4 Re 2.52, 1 Mo 2.61

The following is a DFT calculation (PBE) of MnReMo after structural relaxation.

Calculated values
excess energy over the best structure of this formula in the dataset	0	meV per atom
uncorrected energy	-10.743	eV per atom

abc: 4.7935 8.3378 16.9237
angles: 90.00 90.00 90.00
With the nearest neighbours (Å) after each atom.
Space group Fddd (No. 70, origin choice 2)
Unique sites:
Mn1 0.1250 0.1250 0.0044 x16  2 Mn 2.41, 4 Mo 2.50-2.56, 4 Re 2.51-2.57
Re1 0.1250 0.2997 0.1250 x16  4 Mn 2.51-2.57, 2 Re 2.71
Mo1 0.1250 0.1250 0.5467 x16  4 Mn 2.50-2.56, 1 Mo 2.65

The following is a DFT calculation (PBE) of MnReMo2 after structural relaxation.

Calculated values
excess energy over the best structure of this formula in the dataset	0	meV per atom
uncorrected energy	-10.751	eV per atom

abc: 3.1476 4.3508 8.6031
angles: 90.00 90.00 90.00
With the nearest neighbours (Å) after each atom.
Space group Cmm2 (No. 35)
Unique sites:
Mn1 0.0000 0.0000 0.0000 x2  2 Re 2.55, 2 Mo 2.60, 4 Mn 2.69
Re1 0.0000 0.5000 0.2334 x2  2 Mn 2.55, 4 Re 2.69, 2 Mo 2.74
Mo1 0.0000 0.0000 0.4947 x2  6 Mo 2.69-2.77, 2 Re 2.74
Mo2 0.0000 0.5000 0.7590 x2  2 Mn 2.60, 6 Mo 2.69-2.77

The following is a DFT calculation (PBE) of MnReMo2 after structural relaxation.

Calculated values
excess energy over the best structure of this formula in the dataset	196	meV per atom
uncorrected energy	-10.555	eV per atom

abc: 2.7213 3.8414 5.6430
angles: 90.00 90.00 90.00
With the nearest neighbours (Å) after each atom.
Space group Pmm2 (No. 25)
Unique sites:
Mn1 0.0000 0.0000 0.0000 x1  4 Re 2.69, 6 Mo 2.72-2.89, 2 Mn 2.72
Re1 0.5000 0.5000 0.7693 x1  5 Mo 2.66-2.77, 4 Mn 2.69, 2 Re 2.72
Mo1 0.0000 0.0000 0.5121 x1  6 Mo 2.72-2.81, 2 Mn 2.75-2.89, 4 Re 2.77
Mo2 0.5000 0.5000 0.2409 x1  1 Re 2.66, 4 Mn 2.72, 6 Mo 2.72-2.81